Here is Ni2IrRh2 after structural relaxation from Alexandria via LeMat-Bulk. Energies are from PBE.

Calculated values
The energy of formation from the pure elements is 0.70 eV per formula unit. As for the energy above the lowest structure with this stoichiometry: 83 meV per atom. Its total energy is -6.89 eV per atom.

Cell: 6.3857 6.3857 6.3857 Å, 156.18 141.20 46.04°
Positions (direct):
Rh1 0.7919 0.2919 0.5000
Rh2 0.2081 0.7081 0.5000
Ni1 0.5977 0.5977 0.0000
Ni2 0.4023 0.4023 0.0000
Ir1 0.0000 0.0000 0.0000